Record 1
# ZrTa2Au (PBE-GGA, relaxed)
# - Energy above the lowest structure with this stoichiometry: 0.073 eV/atom
# - Total DFT energy (no corrections): -8.940 eV/atom
# - Formation energy from the elements: -0.057 eV per atom
data_ZrTa2Au
_space_group_name_H-M_alt 'P 4 m m'
_space_group_IT_number 99
_cell_length_a 2.911
_cell_length_b 2.911
_cell_length_c 8.992
_cell_angle_alpha 90.00
_cell_angle_beta 90.00
_cell_angle_gamma 90.00
loop_
_space_group_symop_operation_xyz
'x,y,z'
'-y,x,z'
'-x,-y,z'
'y,-x,z'
'-x,y,z'
'y,x,z'
'x,-y,z'
'-y,-x,z'
loop_
_atom_site_label
_atom_site_type_symbol
_atom_site_fract_x
_atom_site_fract_y
_atom_site_fract_z
Zr1 Zr 0.000 0.000 0.000
Ta1 Ta 0.000 0.000 0.487
Ta2 Ta 0.500 0.500 0.738
Au1 Au 0.500 0.500 0.254


Record 2
# ZrTa2Au (PBE-GGA, relaxed)
# - Energy above the lowest structure with this stoichiometry: 0.092 eV/atom
# - Total DFT energy (no corrections): -8.920 eV/atom
# - Formation energy from the elements: -0.038 eV per atom
data_ZrTa2Au
_space_group_name_H-M_alt 'I 4/m m m'
_space_group_IT_number 139
_space_group_name_Hall '-I 4 2'
_cell_length_a 4.097
_cell_length_b 4.097
_cell_length_c 9.115
_cell_angle_alpha 90.00
_cell_angle_beta 90.00
_cell_angle_gamma 90.00
loop_
_atom_site_label
_atom_site_type_symbol
_atom_site_fract_x
_atom_site_fract_y
_atom_site_fract_z
Zr1 Zr 0.000 0.000 0.000
Ta1 Ta 0.000 0.500 0.250
Au1 Au 0.000 0.000 0.500


Record 3
# ZrTaAu2 (PBE-GGA, relaxed)
# - Total DFT energy (no corrections): -6.863 eV/atom
# - Formation energy from the elements: -0.124 eV per atom
data_ZrTaAu2
_space_group_name_H-M_alt 'I m m 2'
_space_group_IT_number 44
_cell_length_a 3.078
_cell_length_b 5.009
_cell_length_c 9.956
_cell_angle_alpha 90.00
_cell_angle_beta 90.00
_cell_angle_gamma 90.00
loop_
_space_group_symop_operation_xyz
'x,y,z'
'-x,-y,z'
'-x,y,z'
'x,-y,z'
'x+1/2,y+1/2,z+1/2'
'-x+1/2,-y+1/2,z+1/2'
'-x+1/2,y+1/2,z+1/2'
'x+1/2,-y+1/2,z+1/2'
loop_
_atom_site_label
_atom_site_type_symbol
_atom_site_fract_x
_atom_site_fract_y
_atom_site_fract_z
Zr1 Zr 0.000 0.000 0.000
Ta1 Ta 0.000 0.500 0.248
Au1 Au 0.000 0.000 0.506
Au2 Au 0.000 0.500 0.760